No. 1
This record from Alexandria describes a relaxed structure of NaCa2PbAu4. The functional is PBE.

Output
Electronic total energy in eV/atom: -3.31
Formation enthalpy at 0 K in eV/atom: -0.5445
Magnetic moment in μB/f.u.: 0.00

Cell lengths 5.0630, 5.0630, 25.1220 Å; angles 90.00, 90.00, 120.00 degrees
Space group R-3m (No. 166, hexagonal axes)
Inequivalent atoms, fractional coordinates:
Na (0.0000, 0.0000, 0.0000) [3 per cell]
Ca (0.0000, 0.0000, 0.2495) [6 per cell]
Pb (0.0000, 0.0000, 0.5000) [3 per cell]
Au (0.0000, 0.0000, 0.1246) [6 per cell]
Au (0.0000, 0.0000, 0.3705) [6 per cell]

***

No. 2
This record from Alexandria describes a relaxed structure of NaCaPbAu. The functional is PBE.

Output
Electronic total energy in eV/atom: -2.93
Formation enthalpy at 0 K in eV/atom: -0.3532
Magnetic moment in μB/f.u.: 0.00

Cell lengths 3.518, 3.579, 9.233 Å; angles 90.00, 90.00, 90.00 degrees
Space group Pmm2 (No. 25)
Inequivalent atoms, fractional coordinates:
Na (0.000, 0.000, 0.000) [1 per cell]
Ca (0.500, 0.000, 0.559) [1 per cell]
Pb (0.000, 0.500, 0.294) [1 per cell]
Au (0.000, 0.500, 0.739) [1 per cell]

***

No. 3
This record from Alexandria describes a relaxed structure of NaCaPbAu2. The functional is PBE.

Output
Electronic total energy in eV/atom: -2.43
Formation enthalpy at 0 K in eV/atom: 0.2894
Magnetic moment in μB/f.u.: 0.00

Cell lengths 5.105, 5.105, 5.226 Å; angles 90.00, 90.00, 90.00 degrees
Space group P4/mmm (No. 123)
Inequivalent atoms, fractional coordinates:
Na (0.000, 0.000, 0.000) [1 per cell]
Ca (0.000, 0.000, 0.500) [1 per cell]
Pb (0.500, 0.500, 0.500) [1 per cell]
Au (0.000, 0.500, 0.000) [2 per cell]

***

No. 4
This record from Alexandria describes a relaxed structure of NaCaPdAu. The functional is PBE.

Output
Electronic total energy in eV/atom: -3.41
Formation enthalpy at 0 K in eV/atom: -0.4614
Magnetic moment in μB/f.u.: 0.00

Cell lengths 7.014, 7.014, 7.014 Å; angles 90.00, 90.00, 90.00 degrees
Space group F-43m (No. 216)
Inequivalent atoms, fractional coordinates:
Na (0.000, 0.000, 0.000) [4 per cell]
Ca (0.000, 0.000, 0.500) [4 per cell]
Pd (0.250, 0.250, 0.750) [4 per cell]
Au (0.250, 0.250, 0.250) [4 per cell]

***

No. 5
This record from Alexandria describes a relaxed structure of NaCaPm2Au4. The functional is PBE.

Output
Electronic total energy in eV/atom: -3.95
Formation enthalpy at 0 K in eV/atom: -0.7042
Magnetic moment in μB/f.u.: 0.00

Cell lengths 5.1316, 5.1316, 25.1182 Å; angles 90.00, 90.00, 120.00 degrees
Space group R-3m (No. 166, hexagonal axes)
Inequivalent atoms, fractional coordinates:
Na (0.0000, 0.0000, 0.0000) [3 per cell]
Ca (0.0000, 0.0000, 0.5000) [3 per cell]
Pm (0.0000, 0.0000, 0.2534) [6 per cell]
Au (0.0000, 0.0000, 0.1287) [6 per cell]
Au (0.0000, 0.0000, 0.3776) [6 per cell]

***

No. 6
This record from Alexandria describes a relaxed structure of NaCa2PuAu4. The functional is PBE.

Output
Electronic total energy in eV/atom: -4.66
Formation enthalpy at 0 K in eV/atom: -0.5690
Magnetic moment in μB/f.u.: 6.12

Cell lengths 5.1399, 5.1399, 25.1204 Å; angles 90.00, 90.00, 120.00 degrees
Space group R-3m (No. 166, hexagonal axes)
Inequivalent atoms, fractional coordinates:
Na (0.0000, 0.0000, 0.0000) [3 per cell]
Ca (0.0000, 0.0000, 0.2552) [6 per cell]
Pu (0.0000, 0.0000, 0.5000) [3 per cell]
Au (0.0000, 0.0000, 0.1301) [6 per cell]
Au (0.0000, 0.0000, 0.3792) [6 per cell]